(1)
A plane-wave DFT calculation with GGA-PBE was carried out for a relaxed BaHfSCl2 crystal.

Unit cell a=5.664 b=5.664 c=6.208 alpha=90.00 beta=90.00 gamma=90.00
Positions (direct):
Ba: 0.000 0.000 0.000
Hf: 0.500 0.500 0.500
S: 0.000 0.000 0.500
Cl: 0.000 0.500 0.000
Cl: 0.500 0.000 0.000

Calculated values
As for the energy above the most stable polymorph in this dataset: 1403 meV/atom. As for the formation energy (no corrections): -101 meV/atom. Its final energy is -4.040 eV per atom.



(2)
A plane-wave DFT calculation with GGA-PBE was carried out for a relaxed BaHfSCl2 crystal.

Unit cell a=5.015 b=5.015 c=5.016 alpha=90.00 beta=90.00 gamma=90.00
Positions (direct):
Ba: 0.000 0.000 0.000
Hf: 0.500 0.500 0.500
S: 0.500 0.500 0.000
Cl: 0.000 0.500 0.500
Cl: 0.500 0.000 0.500

Calculated values
As for the energy above the most stable polymorph in this dataset: 0 meV/atom. As for the formation energy (no corrections): -1504 meV/atom. Its final energy is -5.443 eV per atom.



(3)
A plane-wave DFT calculation with GGA-PBE was carried out for a relaxed BaHfWCl2 crystal.

Unit cell a=4.737 b=4.737 c=6.924 alpha=90.00 beta=90.00 gamma=90.00
Positions (direct):
Ba: 0.000 0.000 0.000
Hf: 0.500 0.500 0.000
W: 0.000 0.000 0.500
Cl: 0.000 0.500 0.500
Cl: 0.500 0.000 0.500

Calculated values
As for the formation energy (no corrections): 1047 meV/atom. Its final energy is -4.658 eV per atom.



(4)
A plane-wave DFT calculation with GGA-PBE was carried out for a relaxed Ba2HgCl2 crystal.

Unit cell a=9.034 b=9.034 c=3.941 alpha=90.00 beta=90.00 gamma=90.00
Positions (direct):
Ba: 0.177 0.323 0.000
Ba: 0.323 0.823 0.000
Ba: 0.677 0.177 0.000
Ba: 0.823 0.677 0.000
Hg: 0.000 0.000 0.500
Hg: 0.500 0.500 0.500
Cl: 0.125 0.625 0.500
Cl: 0.375 0.125 0.500
Cl: 0.625 0.875 0.500
Cl: 0.875 0.375 0.500

Calculated values
As for the energy above the most stable polymorph in this dataset: 0 meV/atom. As for the formation energy (no corrections): -1450 meV/atom. Its final energy is -3.018 eV per atom.



(5)
A plane-wave DFT calculation with GGA-PBE was carried out for a relaxed BaHg2Cl crystal.

Unit cell a=5.689 b=5.689 c=5.689 alpha=60.00 beta=60.00 gamma=60.00
Positions (direct):
Ba: 0.000 0.000 0.000
Hg: 0.250 0.250 0.250
Hg: 0.750 0.750 0.750
Cl: 0.500 0.500 0.500

Calculated values
As for the energy above the most stable polymorph in this dataset: 292 meV/atom. As for the formation energy (no corrections): -715 meV/atom. Its final energy is -1.808 eV per atom.



(6)
A plane-wave DFT calculation with GGA-PBE was carried out for a relaxed Ba2Hg2Cl crystal.

Unit cell a=8.804 b=8.804 c=5.107 alpha=90.00 beta=90.00 gamma=90.00
Positions (direct):
Ba: 0.185 0.315 0.000
Ba: 0.315 0.815 0.000
Ba: 0.685 0.185 0.000
Ba: 0.815 0.685 0.000
Hg: 0.118 0.618 0.500
Hg: 0.382 0.118 0.500
Hg: 0.618 0.882 0.500
Hg: 0.882 0.382 0.500
Cl: 0.000 0.000 0.000
Cl: 0.500 0.500 0.000

Calculated values
As for the energy above the most stable polymorph in this dataset: 0 meV/atom. As for the formation energy (no corrections): -942 meV/atom. Its final energy is -2.202 eV per atom.



(7)
A plane-wave DFT calculation with GGA-PBE was carried out for a relaxed Ba2HgCl crystal.

Unit cell a=6.277 b=6.277 c=6.277 alpha=133.85 beta=111.89 gamma=86.23
Positions (direct):
Ba: 0.225 0.225 0.000
Ba: 0.775 0.775 0.000
Hg: 0.500 0.000 0.500
Cl: 0.000 0.500 0.500

Calculated values
As for the energy above the most stable polymorph in this dataset: 164 meV/atom. As for the formation energy (no corrections): -958 meV/atom. Its final energy is -2.457 eV per atom.



(8)
A plane-wave DFT calculation with GGA-PBE was carried out for a relaxed Ba2HgCl2 crystal.

Unit cell a=6.597 b=6.597 c=6.597 alpha=124.76 beta=124.76 gamma=81.94
Positions (direct):
Ba: 0.250 0.750 0.500
Ba: 0.750 0.250 0.500
Hg: 0.000 0.000 0.000
Cl: 0.325 0.325 0.000
Cl: 0.675 0.675 0.000

Calculated values
As for the energy above the most stable polymorph in this dataset: 45 meV/atom. As for the formation energy (no corrections): -1405 meV/atom. Its final energy is -2.973 eV per atom.